# Tb3Ho4Th

An optimized crystal structure of Tb3Ho4Th (PBE-GGA, the Alexandria database).

total moment: 0.0 μB per cell
ΔE_f: 0.026 eV/atom
energy above the lowest structure with this stoichiometry: 0.0 kJ/mol of formula units

```
data_Tb3Ho4Th
_cell_length_a 11.362
_cell_length_b 7.215
_cell_length_c 6.237
_cell_angle_alpha 90.00
_cell_angle_beta 90.00
_cell_angle_gamma 90.00
_space_group_name_H-M_alt 'P m n 21'
_space_group_IT_number 31
_space_group_name_Hall 'P 2ac -2'
loop_
_atom_site_label
_atom_site_fract_x
_atom_site_fract_y
_atom_site_fract_z
Tb1 0.000 0.122 0.000
Tb2 0.249 0.123 0.330
Ho1 0.000 0.375 0.500
Ho2 0.000 0.628 0.001
Ho3 0.249 0.626 0.341
Th1 0.000 0.876 0.502
```

---

# Tb12HoTh5

An optimized crystal structure of Tb12HoTh5 (PBE-GGA, the Alexandria database).

total moment: 0.0 μB per cell
ΔE_f: 0.046 eV/atom

```
data_Tb12HoTh5
_cell_length_a 18.517
_cell_length_b 10.660
_cell_length_c 6.189
_cell_angle_alpha 90.00
_cell_angle_beta 109.23
_cell_angle_gamma 90.00
_space_group_name_H-M_alt 'C 1 2/m 1'
_space_group_IT_number 12
_space_group_name_Hall '-C 2y'
loop_
_atom_site_label
_atom_site_fract_x
_atom_site_fract_y
_atom_site_fract_z
Tb1 0.000 0.162 0.000
Tb2 0.000 0.335 0.500
Tb3 0.167 0.165 0.832
Tb4 0.167 0.335 0.336
Ho1 0.000 0.500 0.000
Th1 0.000 0.000 0.500
Th2 0.166 0.000 0.331
Th3 0.167 0.500 0.830
```

---

# Tb6Ho16Th7

An optimized crystal structure of Tb6Ho16Th7 (PBE-GGA, the Alexandria database).

total moment: 0.0 μB per cell
ΔE_f: 0.273 eV/atom

```
data_Tb6Ho16Th7
_cell_length_a 15.863
_cell_length_b 15.863
_cell_length_c 15.863
_cell_angle_alpha 90.00
_cell_angle_beta 90.00
_cell_angle_gamma 90.00
_space_group_name_H-M_alt 'F m -3 m'
_space_group_IT_number 225
_space_group_name_Hall '-F 4 2 3'
loop_
_atom_site_label
_atom_site_fract_x
_atom_site_fract_y
_atom_site_fract_z
Tb1 0.000 0.000 0.246
Ho1 0.130 0.130 0.370
Ho2 0.153 0.153 0.153
Th1 0.000 0.000 0.500
Th2 0.000 0.250 0.250
```

---

# TbHo5Th2

An optimized crystal structure of TbHo5Th2 (PBE-GGA, the Alexandria database).

total moment: 0.0 μB per cell
ΔE_f: 0.098 eV/atom
energy above the lowest structure with this stoichiometry: 0.0 kJ/mol of formula units

```
data_TbHo5Th2
_cell_length_a 3.510
_cell_length_b 11.137
_cell_length_c 13.152
_cell_angle_alpha 90.00
_cell_angle_beta 90.00
_cell_angle_gamma 90.00
_space_group_name_H-M_alt 'I m m m'
_space_group_IT_number 71
_space_group_name_Hall '-I 2 2'
loop_
_atom_site_label
_atom_site_fract_x
_atom_site_fract_y
_atom_site_fract_z
Tb1 0.000 0.000 0.000
Ho1 0.000 0.232 0.369
Ho2 0.000 0.500 0.000
Th1 0.000 0.500 0.260
```

---

The lowest ΔE_f belongs to which entry?
Tb3Ho4Th

---

What did the fourth record say?
# TbHo5Th2

An optimized crystal structure of TbHo5Th2 (PBE-GGA, the Alexandria database).

total moment: 0.0 μB per cell
ΔE_f: 0.098 eV/atom
energy above the lowest structure with this stoichiometry: 0.0 kJ/mol of formula units

```
data_TbHo5Th2
_cell_length_a 3.510
_cell_length_b 11.137
_cell_length_c 13.152
_cell_angle_alpha 90.00
_cell_angle_beta 90.00
_cell_angle_gamma 90.00
_space_group_name_H-M_alt 'I m m m'
_space_group_IT_number 71
_space_group_name_Hall '-I 2 2'
loop_
_atom_site_label
_atom_site_fract_x
_atom_site_fract_y
_atom_site_fract_z
Tb1 0.000 0.000 0.000
Ho1 0.000 0.232 0.369
Ho2 0.000 0.500 0.000
Th1 0.000 0.500 0.260
```